Entry from the Alexandria database: Cd6Pt after structural relaxation (PBE).

Cell and atoms, written as POSCAR:
```
Cd6Pt
1.0
5.532 -0.012 0.000
-0.749 5.481 0.000
0.000 0.000 9.843
Cd Pt
12 2
Direct
0.392 0.023 0.250
0.856 0.856 0.095
0.144 0.144 0.595
0.977 0.608 0.750
0.023 0.392 0.250
0.608 0.977 0.750
0.678 0.322 0.500
0.678 0.322 0.000
0.856 0.856 0.405
0.322 0.678 0.000
0.322 0.678 0.500
0.144 0.144 0.905
0.533 0.533 0.250
0.467 0.467 0.750
```

Computed properties:
total DFT energy (no corrections) = -1.81 eV/atom
ΔH_f (0 K) = -0.17 eV per atom